Record 1
5
Lattice="-1.220 -3.845 4.440 5.614 0.570 2.036 -1.727 4.569 3.482" Properties=species:S:1:pos:R:3 comment="BaBeCl3 | Alexandria | GGA-PBE | relaxed" space_group=Pm-3m pbc="T T T"
Ba 0.000 0.000 0.000
Cl -0.863 2.284 1.741
Be 1.334 0.647 4.979
Cl -0.610 -1.922 2.220
Cl 2.807 0.285 1.018


Record 2
4
Lattice="0.000 3.370 3.370 3.370 0.000 3.370 3.370 3.370 0.000" Properties=species:S:1:pos:R:3 comment="Ga2SeS | Alexandria | GGA-PBE | relaxed" space_group=Fm-3m pbc="T T T"
Se 3.370 3.370 3.370
Ga 1.685 1.685 1.685
Ga 5.055 5.055 5.055
S 0.000 0.000 0.000


Energy relative to the elements, uncorrected
In order: -0.731; -0.007
Unit: eV per atom
Polymorph energy (0 for the lowest one)
In order: 0.589; 0.607
Unit: eV/atom
Magnetization
In order: 1.0; 0.0
Unit: Bohr magnetons per cell